No. 1
# SCAN LaBeAg2Te, single point on PBEsol structure
data_LaBeAg2Te
_chemical_formula_sum 'La1 Be1 Ag2 Te1'
_cell_length_a 5.086
_cell_length_b 5.086
_cell_length_c 6.003
_cell_angle_alpha 90.00
_cell_angle_beta 90.00
_cell_angle_gamma 90.00
_symmetry_space_group_name_H-M 'P 4/m m m'
_symmetry_Int_Tables_number 123
_symmetry_space_group_name_Hall '-P 4 2'
loop_
_atom_site_label
_atom_site_type_symbol
_atom_site_fract_x
_atom_site_fract_y
_atom_site_fract_z
La1 La 0.000 0.000 0.000
Be1 Be 0.500 0.500 0.000
Ag1 Ag 0.000 0.500 0.500
Te1 Te 0.000 0.000 0.500
# D(E_F) = 0.78 states/eV/atom
# Total moment = 0.00 μB per cell
# Raw formation energy = 564.4 meV per atom
# VASP energy = -1.063 Ha/atom

No. 2
# SCAN Mg2BeAg, single point on PBEsol structure
data_Mg2BeAg
_chemical_formula_sum 'Mg2 Be1 Ag1'
_cell_length_a 3.128
_cell_length_b 3.128
_cell_length_c 6.785
_cell_angle_alpha 90.00
_cell_angle_beta 90.00
_cell_angle_gamma 90.00
_symmetry_space_group_name_H-M 'P 4 m m'
_symmetry_Int_Tables_number 99
_symmetry_space_group_name_Hall 'P 4 -2'
loop_
_atom_site_label
_atom_site_type_symbol
_atom_site_fract_x
_atom_site_fract_y
_atom_site_fract_z
Mg1 Mg 0.000 0.000 0.000
Mg2 Mg 0.500 0.500 0.326
Be1 Be 0.500 0.500 0.752
Ag1 Ag 0.000 0.000 0.593
# D(E_F) = 0.22 states/eV/atom
# Total moment = 0.07 μB per cell
# VASP energy = -0.419 Ha/atom

No. 3
# SCAN Mg2BeAgTe, single point on PBEsol structure
data_Mg2BeAgTe
_chemical_formula_sum 'Mg2 Be1 Ag1 Te1'
_cell_length_a 4.897
_cell_length_b 4.897
_cell_length_c 4.381
_cell_angle_alpha 90.00
_cell_angle_beta 90.00
_cell_angle_gamma 90.00
_symmetry_space_group_name_H-M 'P 4/m m m'
_symmetry_Int_Tables_number 123
_symmetry_space_group_name_Hall '-P 4 2'
loop_
_atom_site_label
_atom_site_type_symbol
_atom_site_fract_x
_atom_site_fract_y
_atom_site_fract_z
Mg1 Mg 0.000 0.500 0.000
Be1 Be 0.000 0.000 0.000
Ag1 Ag 0.000 0.000 0.500
Te1 Te 0.500 0.500 0.500
# D(E_F) = 0.54 states/eV/atom
# Total moment = 0.00 μB per cell
# Raw formation energy = 219.5 meV per atom
# VASP energy = -0.601 Ha/atom

No. 4
# SCAN Mn2BeAg, single point on PBEsol structure
data_Mn2BeAg
_chemical_formula_sum 'Mn2 Be1 Ag1'
_cell_length_a 2.711
_cell_length_b 2.711
_cell_length_c 6.169
_cell_angle_alpha 90.00
_cell_angle_beta 90.00
_cell_angle_gamma 90.00
_symmetry_space_group_name_H-M 'P 4 m m'
_symmetry_Int_Tables_number 99
_symmetry_space_group_name_Hall 'P 4 -2'
loop_
_atom_site_label
_atom_site_type_symbol
_atom_site_fract_x
_atom_site_fract_y
_atom_site_fract_z
Mn1 Mn 0.000 0.000 0.000
Mn2 Mn 0.500 0.500 0.193
Be1 Be 0.500 0.500 0.785
Ag1 Ag 0.000 0.000 0.527
# D(E_F) = 0.90 states/eV/atom
# Total moment = 0.00 μB per cell
# VASP energy = -0.656 Ha/atom

No. 5
# SCAN Mn2BeAg, single point on PBEsol structure
data_Mn2BeAg
_chemical_formula_sum 'Mn4 Be2 Ag2'
_cell_length_a 3.340
_cell_length_b 3.340
_cell_length_c 8.185
_cell_angle_alpha 90.00
_cell_angle_beta 90.00
_cell_angle_gamma 90.00
_symmetry_space_group_name_H-M 'I 4/m m m'
_symmetry_Int_Tables_number 139
_symmetry_space_group_name_Hall '-I 4 2'
loop_
_atom_site_label
_atom_site_type_symbol
_atom_site_fract_x
_atom_site_fract_y
_atom_site_fract_z
Mn1 Mn 0.000 0.500 0.250
Be1 Be 0.000 0.000 0.000
Ag1 Ag 0.000 0.000 0.500
# D(E_F) = 0.76 states/eV/atom
# Total moment = 12.19 μB per cell
# VASP energy = -0.651 Ha/atom

No. 6
# SCAN Be2Ag2Mo, single point on PBEsol structure
data_Be2Ag2Mo
_chemical_formula_sum 'Be4 Ag4 Mo2'
_cell_length_a 3.601
_cell_length_b 3.601
_cell_length_c 10.219
_cell_angle_alpha 90.00
_cell_angle_beta 90.00
_cell_angle_gamma 90.00
_symmetry_space_group_name_H-M 'I 4/m m m'
_symmetry_Int_Tables_number 139
_symmetry_space_group_name_Hall '-I 4 2'
loop_
_atom_site_label
_atom_site_type_symbol
_atom_site_fract_x
_atom_site_fract_y
_atom_site_fract_z
Be1 Be 0.000 0.000 0.095
Ag1 Ag 0.000 0.500 0.250
Mo1 Mo 0.000 0.000 0.500
# D(E_F) = 0.46 states/eV/atom
# Total moment = 0.00 μB per cell
# VASP energy = -0.765 Ha/atom

No. 7
# SCAN BeAgMo3, single point on PBEsol structure
data_BeAgMo3
_chemical_formula_sum 'Be1 Ag1 Mo3'
_cell_length_a 4.197
_cell_length_b 4.197
_cell_length_c 4.197
_cell_angle_alpha 90.00
_cell_angle_beta 90.00
_cell_angle_gamma 90.00
_symmetry_space_group_name_H-M 'P m -3 m'
_symmetry_Int_Tables_number 221
_symmetry_space_group_name_Hall '-P 4 2 3'
loop_
_atom_site_label
_atom_site_type_symbol
_atom_site_fract_x
_atom_site_fract_y
_atom_site_fract_z
Be1 Be 0.000 0.000 0.000
Ag1 Ag 0.500 0.500 0.500
Mo1 Mo 0.000 0.000 0.500
# D(E_F) = 0.67 states/eV/atom
# Total moment = 0.00 μB per cell
# VASP energy = -0.999 Ha/atom

No. 8
# SCAN BeZnAgN2, single point on PBEsol structure
data_BeZnAgN2
_chemical_formula_sum 'Be1 Zn1 Ag1 N2'
_cell_length_a 3.825
_cell_length_b 3.825
_cell_length_c 4.239
_cell_angle_alpha 90.00
_cell_angle_beta 90.00
_cell_angle_gamma 90.00
_symmetry_space_group_name_H-M 'P 4/m m m'
_symmetry_Int_Tables_number 123
_symmetry_space_group_name_Hall '-P 4 2'
loop_
_atom_site_label
_atom_site_type_symbol
_atom_site_fract_x
_atom_site_fract_y
_atom_site_fract_z
Be1 Be 0.000 0.000 0.000
Zn1 Zn 0.000 0.000 0.500
Ag1 Ag 0.500 0.500 0.000
N1 N 0.000 0.500 0.500
# D(E_F) = 0.22 states/eV/atom
# Total moment = 1.39 μB per cell
# Raw formation energy = 1651.2 meV per atom
# VASP energy = -0.438 Ha/atom

No. 9
# SCAN NaBe2Ag, single point on PBEsol structure
data_NaBe2Ag
_chemical_formula_sum 'Na4 Be8 Ag4'
_cell_length_a 5.996
_cell_length_b 5.996
_cell_length_c 5.996
_cell_angle_alpha 90.00
_cell_angle_beta 90.00
_cell_angle_gamma 90.00
_symmetry_space_group_name_H-M 'F m -3 m'
_symmetry_Int_Tables_number 225
_symmetry_space_group_name_Hall '-F 4 2 3'
loop_
_atom_site_label
_atom_site_type_symbol
_atom_site_fract_x
_atom_site_fract_y
_atom_site_fract_z
Na1 Na 0.000 0.000 0.000
Be1 Be 0.250 0.250 0.250
Ag1 Ag 0.000 0.000 0.500
# D(E_F) = 0.27 states/eV/atom
# Total moment = 0.00 μB per cell
# VASP energy = -0.390 Ha/atom

No. 10
# SCAN Na3BeAg, single point on PBEsol structure
data_Na3BeAg
_chemical_formula_sum 'Na3 Be1 Ag1'
_cell_length_a 5.438
_cell_length_b 5.438
_cell_length_c 5.438
_cell_angle_alpha 90.00
_cell_angle_beta 90.00
_cell_angle_gamma 90.00
_symmetry_space_group_name_H-M 'P m -3 m'
_symmetry_Int_Tables_number 221
_symmetry_space_group_name_Hall '-P 4 2 3'
loop_
_atom_site_label
_atom_site_type_symbol
_atom_site_fract_x
_atom_site_fract_y
_atom_site_fract_z
Na1 Na 0.000 0.000 0.500
Be1 Be 0.500 0.500 0.500
Ag1 Ag 0.000 0.000 0.000
# D(E_F) = 0.59 states/eV/atom
# Total moment = 0.00 μB per cell
# VASP energy = -0.330 Ha/atom

No. 11
# SCAN NaBeAg3, single point on PBEsol structure
data_NaBeAg3
_chemical_formula_sum 'Na1 Be1 Ag3'
_cell_length_a 4.484
_cell_length_b 4.484
_cell_length_c 4.484
_cell_angle_alpha 90.00
_cell_angle_beta 90.00
_cell_angle_gamma 90.00
_symmetry_space_group_name_H-M 'P m -3 m'
_symmetry_Int_Tables_number 221
_symmetry_space_group_name_Hall '-P 4 2 3'
loop_
_atom_site_label
_atom_site_type_symbol
_atom_site_fract_x
_atom_site_fract_y
_atom_site_fract_z
Na1 Na 0.000 0.000 0.000
Be1 Be 0.500 0.500 0.500
Ag1 Ag 0.000 0.500 0.500
# D(E_F) = 0.28 states/eV/atom
# Total moment = 0.00 μB per cell
# VASP energy = -0.748 Ha/atom

No. 12
# SCAN NaBe3Ag, single point on PBEsol structure
data_NaBe3Ag
_chemical_formula_sum 'Na1 Be3 Ag1'
_cell_length_a 4.391
_cell_length_b 4.391
_cell_length_c 4.391
_cell_angle_alpha 90.00
_cell_angle_beta 90.00
_cell_angle_gamma 90.00
_symmetry_space_group_name_H-M 'P m -3 m'
_symmetry_Int_Tables_number 221
_symmetry_space_group_name_Hall '-P 4 2 3'
loop_
_atom_site_label
_atom_site_type_symbol
_atom_site_fract_x
_atom_site_fract_y
_atom_site_fract_z
Na1 Na 0.000 0.000 0.000
Be1 Be 0.000 0.500 0.500
Ag1 Ag 0.500 0.500 0.500
# D(E_F) = 0.36 states/eV/atom
# Total moment = 0.00 μB per cell
# VASP energy = -0.335 Ha/atom